Here is crystalline NiPd2Pb at its relaxed geometry from Alexandria via LeMat-Bulk. Energies are from GGA-PBE.

Cell: 4.058 4.015 4.015 Å, 90.00 90.00 90.00°
Fractional coordinates of all 4 atoms:
Pd 0.000 0.500 0.000
Pd 0.000 0.000 0.500
Ni 0.500 0.000 0.000
Pb 0.500 0.500 0.500

Summary:
* N(E_F): 2.8 states/eV per cell
* DFT formation energy: -112 meV/atom
* total moment: 0.00 μB per formula unit
* SG: No. 123

=====

Here is crystalline NiPd2Pb at its relaxed geometry from Alexandria via LeMat-Bulk. Energies are from GGA-PBE.

Cell: 3.875 3.875 9.865 Å, 78.67 78.67 90.00°
Fractional coordinates of all 8 atoms:
Ni 0.500 0.500 0.000
Ni 0.250 0.750 0.500
Pb 0.000 0.000 0.000
Pb 0.750 0.250 0.500
Pd 0.139 0.625 0.250
Pd 0.611 0.125 0.250
Pd 0.375 0.389 0.750
Pd 0.875 0.861 0.750

Summary:
* N(E_F): 5.5 states/eV per cell
* DFT formation energy: 136 meV/atom
* total moment: 0.00 μB per formula unit
* SG: No. 122

=====

> Which value of DFT formation energy does entry 2 give?

136 meV/atom

=====

> Which of these has the lowest N(E_F)?

number 1

=====

Repeat the first record exactly.
Here is crystalline NiPd2Pb at its relaxed geometry from Alexandria via LeMat-Bulk. Energies are from GGA-PBE.

Cell: 4.058 4.015 4.015 Å, 90.00 90.00 90.00°
Fractional coordinates of all 4 atoms:
Pd 0.000 0.500 0.000
Pd 0.000 0.000 0.500
Ni 0.500 0.000 0.000
Pb 0.500 0.500 0.500

Summary:
* N(E_F): 2.8 states/eV per cell
* DFT formation energy: -112 meV/atom
* total moment: 0.00 μB per formula unit
* SG: No. 123